(1)
An optimized crystal structure of LiTbCe, computed with PBE-GGA.

abc: 9.190 8.856 4.586
angles: 79.35 71.28 29.37
Element x y z (fractional)
Li 0.165 0.835 0.165
Li 0.835 0.165 0.835
Tb 0.401 0.401 0.599
Tb 0.599 0.599 0.401
Ce 0.250 0.250 0.250
Ce 0.750 0.750 0.750

Calculated values
- size of the total moment (μB/cell) = 2.2
- space group = Fmmm, No. 69
- energy of formation (eV/f.u.) = 1.352
- density (Mg/m³) = 6.0
- E above lowest polymorph (meV per atom) = 294

(2)
An optimized crystal structure of CeTiSnHg, computed with PBE-GGA.

abc: 5.152 5.152 5.152
angles: 60.00 60.00 60.00
Element x y z (fractional)
Ce 0.000 0.000 0.000
Ti 0.500 0.500 0.500
Sn 0.750 0.750 0.750
Hg 0.250 0.250 0.250

Calculated values
- size of the total moment (μB/cell) = 3.1
- space group = F-43m, No. 216
- energy of formation (eV/f.u.) = -0.982
- density (Mg/m³) = 8.7

(3)
An optimized crystal structure of As2WCl, computed with PBE-GGA.

abc: 3.283 3.145 7.562
angles: 90.00 90.12 90.00
Element x y z (fractional)
As 0.001 0.000 0.190
As 0.999 0.000 0.810
W 0.500 0.500 0.000
Cl 0.000 0.500 0.500

Calculated values
- size of the total moment (μB/cell) = 0.0
- space group = P2/m, No. 10
- density (Mg/m³) = 7.9
- E above lowest polymorph (meV per atom) = 128

(4)
An optimized crystal structure of Pb2WCl, computed with PBE-GGA.

abc: 5.471 5.471 3.057
angles: 90.00 90.00 90.00
Element x y z (fractional)
Pb 0.000 0.500 0.000
Pb 0.500 0.000 0.000
W 0.000 0.000 0.500
Cl 0.500 0.500 0.500

Calculated values
- size of the total moment (μB/cell) = 0.6
- space group = P4/mmm, No. 123
- density (Mg/m³) = 11.5
- E above lowest polymorph (meV per atom) = 204

(5)
An optimized crystal structure of CsScTe2, computed with PBE-GGA.

abc: 11.256 11.256 5.907
angles: 90.00 90.00 153.94
Element x y z (fractional)
Cs 0.074 0.926 0.750
Cs 0.926 0.074 0.250
Sc 0.296 0.704 0.750
Sc 0.704 0.296 0.250
Te 0.270 0.730 0.250
Te 0.418 0.582 0.750
Te 0.582 0.418 0.250
Te 0.730 0.270 0.750

Calculated values
- size of the total moment (μB/cell) = 0.0
- space group = Cmcm, No. 63
- electronic total energy (eV per atom) = -4.5265
- density (Mg/m³) = 4.4

(6)
An optimized crystal structure of K2SrCaBr6, computed with PBE-GGA.

abc: 7.838 8.260 13.651
angles: 90.00 124.86 90.00
Element x y z (fractional)
K 0.223 0.077 0.250
K 0.223 0.423 0.750
K 0.777 0.577 0.250
K 0.777 0.923 0.750
Sr 0.500 0.000 0.000
Sr 0.500 0.500 0.500
Ca 0.000 0.000 0.500
Ca 0.000 0.500 0.000
Br 0.123 0.205 0.935
Br 0.123 0.295 0.435
Br 0.238 0.693 0.939
Br 0.238 0.807 0.439
Br 0.366 0.043 0.743
Br 0.366 0.457 0.243
Br 0.634 0.543 0.757
Br 0.634 0.957 0.257
Br 0.762 0.193 0.561
Br 0.762 0.307 0.061
Br 0.877 0.705 0.565
Br 0.877 0.795 0.065

Calculated values
- size of the total moment (μB/cell) = 0.0
- space group = P2_1/c, No. 14
- electronic total energy (eV per atom) = -3.5463
- density (Mg/m³) = 3.1

(7)
An optimized crystal structure of Pr3IrPb, computed with PBE-GGA.

abc: 8.636 4.636 15.385
angles: 90.00 90.00 90.00
Element x y z (fractional)
Pr 0.016 0.250 0.109
Pr 0.151 0.250 0.507
Pr 0.181 0.750 0.287
Pr 0.319 0.250 0.787
Pr 0.349 0.750 0.007
Pr 0.484 0.750 0.609
Pr 0.516 0.250 0.391
Pr 0.651 0.250 0.993
Pr 0.681 0.750 0.213
Pr 0.819 0.250 0.713
Pr 0.849 0.750 0.493
Pr 0.984 0.750 0.891
Ir 0.173 0.250 0.944
Ir 0.327 0.750 0.444
Ir 0.673 0.250 0.556
Ir 0.827 0.750 0.056
Pb 0.099 0.750 0.674
Pb 0.401 0.250 0.174
Pb 0.599 0.750 0.826
Pb 0.901 0.250 0.326

Calculated values
- size of the total moment (μB/cell) = 0.0
- space group = Pnma, No. 62
- energy of formation (eV/f.u.) = -2.888
- density (Mg/m³) = 8.9
- E above lowest polymorph (meV per atom) = 0

(8)
An optimized crystal structure of Ti3BeTc2, computed with PBE-GGA.

abc: 3.126 3.126 8.840
angles: 90.00 90.00 90.00
Element x y z (fractional)
Ti 0.000 0.000 0.000
Ti 0.000 0.000 0.340
Ti 0.000 0.000 0.660
Be 0.500 0.500 0.500
Tc 0.500 0.500 0.178
Tc 0.500 0.500 0.822

Calculated values
- size of the total moment (μB/cell) = 0.0
- space group = P4/mmm, No. 123
- energy of formation (eV/f.u.) = -2.340
- density (Mg/m³) = 6.7

(9)
An optimized crystal structure of ScAlNi, computed with PBE-GGA.

abc: 4.374 4.374 4.374
angles: 60.00 60.00 60.00
Element x y z (fractional)
Sc 0.000 0.000 0.000
Al 0.250 0.250 0.250
Ni 0.750 0.750 0.750

Calculated values
- size of the total moment (μB/cell) = 0.0
- space group = F-43m, No. 216
- energy of formation (eV/f.u.) = 0.933
- density (Mg/m³) = 3.7

(10)
An optimized crystal structure of Ca4SbTeN, computed with PBE-GGA.

abc: 8.696 8.696 6.806
angles: 90.00 90.00 133.96
Element x y z (fractional)
Ca 0.000 0.500 0.000
Ca 0.000 0.500 0.500
Ca 0.092 0.908 0.750
Ca 0.403 0.597 0.750
Ca 0.500 0.000 0.000
Ca 0.500 0.000 0.500
Ca 0.597 0.403 0.250
Ca 0.908 0.092 0.250
Sb 0.108 0.892 0.250
Sb 0.892 0.108 0.750
Te 0.394 0.606 0.250
Te 0.606 0.394 0.750
N 0.251 0.749 0.750
N 0.749 0.251 0.250

Calculated values
- size of the total moment (μB/cell) = 0.0
- space group = Cmcm, No. 63
- electronic total energy (eV per atom) = -4.6044
- density (Mg/m³) = 3.8

(11)
An optimized crystal structure of Na10B17C3, computed with PBE-GGA.

abc: 9.203 9.203 13.771
angles: 111.73 111.73 17.65
Element x y z (fractional)
Na 0.000 0.000 0.000
Na 0.000 0.000 0.494
Na 0.201 0.201 0.392
Na 0.201 0.201 0.898
Na 0.400 0.400 0.295
Na 0.401 0.401 0.799
Na 0.600 0.600 0.696
Na 0.601 0.601 0.196
Na 0.800 0.800 0.595
Na 0.801 0.801 0.097
B 0.034 0.034 0.311
B 0.035 0.035 0.816
B 0.162 0.162 0.071
B 0.165 0.165 0.574
B 0.227 0.227 0.700
B 0.228 0.228 0.201
B 0.371 0.371 0.484
B 0.374 0.374 0.996
B 0.432 0.432 0.609
B 0.442 0.442 0.129
B 0.574 0.574 0.896
B 0.623 0.623 0.490
B 0.766 0.766 0.277
B 0.770 0.770 0.786
B 0.831 0.831 0.404
B 0.834 0.834 0.914
B 0.973 0.973 0.692
C 0.565 0.565 0.373
C 0.632 0.632 0.012
C 0.973 0.973 0.190

Calculated values
- size of the total moment (μB/cell) = 0.0
- space group = Cm, No. 8
- energy of formation (eV/f.u.) = 6.269
- density (Mg/m³) = 2.3
- E above lowest polymorph (meV per atom) = 4

(12)
An optimized crystal structure of CeNd5Ho4, computed with PBE-GGA.

abc: 9.155 9.155 11.014
angles: 106.32 106.32 22.13
Element x y z (fractional)
Ce 0.000 0.000 0.000
Nd 0.000 0.000 0.500
Nd 0.295 0.295 0.398
Nd 0.396 0.396 0.718
Nd 0.604 0.604 0.282
Nd 0.705 0.705 0.602
Ho 0.195 0.195 0.080
Ho 0.406 0.406 0.187
Ho 0.594 0.594 0.813
Ho 0.805 0.805 0.920

Calculated values
- size of the total moment (μB/cell) = 0.4
- space group = C2/m, No. 12
- energy of formation (eV/f.u.) = 1.049
- density (Mg/m³) = 7.6

(13)
An optimized crystal structure of CoNi2As, computed with PBE-GGA.

abc: 8.786 8.786 8.786
angles: 157.34 157.34 32.26
Element x y z (fractional)
Co 0.000 0.000 0.000
Co 0.750 0.250 0.500
Ni 0.123 0.625 0.998
Ni 0.375 0.373 0.498
Ni 0.627 0.125 0.002
Ni 0.875 0.877 0.502
As 0.250 0.750 0.500
As 0.500 0.500 0.000

Calculated values
- size of the total moment (μB/cell) = 1.5
- space group = I-42d, No. 122
- energy of formation (eV/f.u.) = 0.715
- density (Mg/m³) = 8.3

(14)
An optimized crystal structure of CaPmSn, computed with PBE-GGA.

abc: 4.836 4.836 8.452
angles: 90.00 90.00 90.00
Element x y z (fractional)
Ca 0.250 0.250 0.142
Ca 0.750 0.750 0.858
Pm 0.250 0.750 0.500
Pm 0.750 0.250 0.500
Sn 0.250 0.250 0.760
Sn 0.750 0.750 0.240

Calculated values
- size of the total moment (μB/cell) = 2.0
- space group = P4/nmm, No. 129
- energy of formation (eV/f.u.) = -1.573
- density (Mg/m³) = 5.1
- E above lowest polymorph (meV per atom) = 52

(15)
An optimized crystal structure of Dy2Ho3Tl6, computed with PBE-GGA.

abc: 15.268 15.268 15.268
angles: 162.28 162.28 25.16
Element x y z (fractional)
Dy 0.053 0.053 0.000
Dy 0.947 0.947 0.000
Ho 0.299 0.299 0.000
Ho 0.500 0.500 0.000
Ho 0.701 0.701 0.000
Tl 0.120 0.620 0.500
Tl 0.197 0.197 0.000
Tl 0.380 0.880 0.500
Tl 0.620 0.120 0.500
Tl 0.803 0.803 0.000
Tl 0.880 0.380 0.500

Calculated values
- size of the total moment (μB/cell) = 0.0
- space group = I4/mmm, No. 139
- energy of formation (eV/f.u.) = -0.140
- density (Mg/m³) = 10.3

(16)
An optimized crystal structure of VSb, computed with PBE-GGA.

abc: 4.368 4.368 4.368
angles: 60.00 60.00 60.00
Element x y z (fractional)
V 0.000 0.000 0.000
Sb 0.750 0.750 0.750

Calculated values
- size of the total moment (μB/cell) = 2.0
- space group = F-43m, No. 216
- electronic total energy (eV per atom) = -6.0056
- density (Mg/m³) = 4.9

(17)
An optimized crystal structure of ErGa3NiRh, computed with PBE-GGA.

abc: 6.799 6.799 5.510
angles: 90.00 90.00 124.10
Element x y z (fractional)
Er 0.222 0.778 0.750
Er 0.778 0.222 0.250
Ga 0.194 0.194 0.000
Ga 0.194 0.194 0.500
Ga 0.344 0.656 0.250
Ga 0.656 0.344 0.750
Ga 0.806 0.806 0.000
Ga 0.806 0.806 0.500
Ni 0.144 0.856 0.250
Ni 0.856 0.144 0.750
Rh 0.439 0.561 0.750
Rh 0.561 0.439 0.250

Calculated values
- size of the total moment (μB/cell) = 0.0
- space group = Cmcm, No. 63
- energy of formation (eV/f.u.) = -2.624
- density (Mg/m³) = 8.5

(18)
An optimized crystal structure of Nd2Zn16Pt, computed with PBE-GGA.

abc: 6.844 6.844 6.844
angles: 82.68 82.68 82.68
Element x y z (fractional)
Nd 0.000 0.000 0.000
Nd 0.328 0.328 0.328
Zn 0.014 0.014 0.508
Zn 0.014 0.508 0.014
Zn 0.163 0.668 0.668
Zn 0.313 0.313 0.827
Zn 0.313 0.827 0.313
Zn 0.377 0.667 0.956
Zn 0.377 0.956 0.667
Zn 0.508 0.014 0.014
Zn 0.565 0.565 0.565
Zn 0.667 0.377 0.956
Zn 0.667 0.956 0.377
Zn 0.668 0.163 0.668
Zn 0.668 0.668 0.163
Zn 0.827 0.313 0.313
Zn 0.956 0.377 0.667
Zn 0.956 0.667 0.377
Pt 0.766 0.766 0.766

Calculated values
- size of the total moment (μB/cell) = 0.0
- space group = R3m, No. 160
- energy of formation (eV/f.u.) = -5.949
- density (Mg/m³) = 8.1

(19)
An optimized crystal structure of Pr4Ag3Os, computed with PBE-GGA.

abc: 3.609 3.609 15.814
angles: 90.00 90.00 90.00
Element x y z (fractional)
Pr 0.000 0.000 0.110
Pr 0.000 0.000 0.372
Pr 0.000 0.000 0.628
Pr 0.000 0.000 0.890
Ag 0.500 0.500 0.246
Ag 0.500 0.500 0.500
Ag 0.500 0.500 0.754
Os 0.500 0.500 0.000

Calculated values
- size of the total moment (μB/cell) = 0.0
- space group = P4/mmm, No. 123
- energy of formation (eV/f.u.) = -1.263
- density (Mg/m³) = 8.7

(20)
An optimized crystal structure of La3NdSm2Ho6, computed with PBE-GGA.

abc: 6.276 6.276 11.837
angles: 95.06 95.06 120.01
Element x y z (fractional)
La 0.000 0.000 0.000
La 0.333 0.667 0.000
La 0.667 0.333 0.000
Nd 0.500 0.500 0.500
Sm 0.167 0.833 0.500
Sm 0.833 0.167 0.500
Ho 0.084 0.418 0.253
Ho 0.249 0.249 0.747
Ho 0.418 0.084 0.253
Ho 0.582 0.916 0.747
Ho 0.751 0.751 0.253
Ho 0.916 0.582 0.747

Calculated values
- size of the total moment (μB/cell) = 0.0
- space group = C2/m, No. 12
- energy of formation (eV/f.u.) = 0.177
- density (Mg/m³) = 7.7

(21)
An optimized crystal structure of Pa2ReCl, computed with PBE-GGA.

abc: 3.246 3.246 8.027
angles: 90.00 90.00 90.00
Element x y z (fractional)
Pa 0.000 0.000 0.231
Pa 0.000 0.000 0.769
Re 0.500 0.500 0.000
Cl 0.500 0.500 0.500

Calculated values
- size of the total moment (μB/cell) = 0.0
- space group = P4/mmm, No. 123
- density (Mg/m³) = 13.4
- E above lowest polymorph (meV per atom) = 0

(22)
An optimized crystal structure of TlSn2Sb, computed with PBE-GGA.

abc: 7.191 7.191 8.406
angles: 90.00 90.00 146.33
Element x y z (fractional)
Tl 0.042 0.958 0.750
Tl 0.958 0.042 0.250
Sn 0.381 0.619 0.550
Sn 0.381 0.619 0.950
Sn 0.619 0.381 0.050
Sn 0.619 0.381 0.450
Sb 0.236 0.764 0.250
Sb 0.764 0.236 0.750

Calculated values
- size of the total moment (μB/cell) = 0.0
- space group = Cmcm, No. 63
- density (Mg/m³) = 7.8
- E above lowest polymorph (meV per atom) = 17